No. 1
{"formula": "TmBeI", "functional": "GGA-PBE", "state": "optimized geometry", "e_tot_ev_per_cell": -22.1, "mass_density_g_cm3": 5.45, "spacegroup": "Cmcm", "raw_formation_energy_ev_per_atom": -0.440, "magmom_total_mub_per_fu": 0.0, "lattice_angstrom": [[4.1415, 0.0000, 0.0000], [0.0000, 3.9350, 0.0000], [-2.0707, 0.0000, 11.3966]], "species": ["Be", "Be", "I", "I", "Tm", "Tm"], "fractional_positions": [[0.4864, 0.7500, 0.9728], [0.5136, 0.2500, 0.0272], [0.8351, 0.7500, 0.6702], [0.1649, 0.2500, 0.3298], [0.9338, 0.2500, 0.8675], [0.0662, 0.7500, 0.1325]]}

No. 2
{"formula": "Dy5Ho2Th5", "functional": "GGA-PBE", "state": "optimized geometry", "delta_e_f_ev_per_atom": 0.05, "e_tot_ev_per_cell": -68.7, "mass_density_g_cm3": 10.01, "spacegroup": "C2/m", "magmom_total_mub_per_fu": 0.0, "lattice_angstrom": [[-1.2394, -4.0409, -2.7323], [6.6617, -3.5515, -2.4046], [1.8183, -8.1933, 6.6573]], "species": ["Dy", "Dy", "Dy", "Dy", "Dy", "Ho", "Ho", "Th", "Th", "Th", "Th", "Th"], "fractional_positions": [[0.5000, 0.5000, 0.5000], [0.3319, 0.3318, 0.0044], [0.4158, 0.9204, 0.2481], [0.5843, 0.0796, 0.7519], [0.6681, 0.6682, 0.9956], [0.9166, 0.4165, 0.7504], [0.0834, 0.5835, 0.2496], [0.8310, 0.8352, 0.5029], [0.2498, 0.7539, 0.7465], [0.7502, 0.2461, 0.2535], [0.1690, 0.1648, 0.4971], [0.0000, 0.0000, 0.0000]]}